No. 1
# PBE RbSc3Ga, optimized geometry
data_RbSc3Ga
_chemical_formula_sum 'Rb1 Sc3 Ga1'
_space_group_name_H-M_alt 'P m -3 m'
_space_group_IT_number 221
_space_group_name_Hall '-P 4 2 3'
_cell_length_a 5.383
_cell_length_b 5.383
_cell_length_c 5.383
_cell_angle_alpha 90.00
_cell_angle_beta 90.00
_cell_angle_gamma 90.00
loop_
_atom_site_label
_atom_site_fract_x
_atom_site_fract_y
_atom_site_fract_z
Rb1 0.000 0.000 0.000
Sc1 0.000 0.500 0.500
Ga1 0.500 0.500 0.500
# - ΔE to the lowest computed polymorph: 0 meV per atom
# - Uncorrected energy: -0.31021 Ry per atom
# - ΔE_f: 377 meV/atom


No. 2
# PBE ZnTc2Au, optimized geometry
data_ZnTc2Au
_chemical_formula_sum 'Zn4 Tc8 Au4'
_space_group_name_H-M_alt 'I -4 2 d'
_space_group_IT_number 122
_space_group_name_Hall 'I -4 2bw'
_cell_length_a 7.273
_cell_length_b 7.273
_cell_length_c 5.048
_cell_angle_alpha 90.00
_cell_angle_beta 90.00
_cell_angle_gamma 90.00
loop_
_atom_site_label
_atom_site_fract_x
_atom_site_fract_y
_atom_site_fract_z
Zn1 0.000 0.000 0.000
Tc1 0.232 0.250 0.125
Au1 0.000 0.000 0.500
# - Uncorrected energy: -0.40705 Ry per atom
# - ΔE_f: 783 meV/atom


No. 3
# PBE Te3WBr, optimized geometry
data_Te3WBr
_chemical_formula_sum 'Te3 W1 Br1'
_space_group_name_H-M_alt 'P m -3 m'
_space_group_IT_number 221
_space_group_name_Hall '-P 4 2 3'
_cell_length_a 5.467
_cell_length_b 5.467
_cell_length_c 5.467
_cell_angle_alpha 90.00
_cell_angle_beta 90.00
_cell_angle_gamma 90.00
loop_
_atom_site_label
_atom_site_fract_x
_atom_site_fract_y
_atom_site_fract_z
Te1 0.000 0.000 0.500
W1 0.500 0.500 0.500
Br1 0.000 0.000 0.000
# - Energy relative to the elements, uncorrected: 1.80 eV/atom
# - ΔE to the lowest computed polymorph: 1645 meV per atom
# - Uncorrected energy: -0.22135 Ry per atom


No. 4
# PBE InNi4B, optimized geometry
data_InNi4B
_chemical_formula_sum 'In1 Ni4 B1'
_space_group_name_H-M_alt 'P 1 2/m 1'
_space_group_IT_number 10
_cell_length_a 3.701
_cell_length_b 3.701
_cell_length_c 6.083
_cell_angle_alpha 90.00
_cell_angle_beta 90.06
_cell_angle_gamma 90.00
loop_
_space_group_symop_operation_xyz
'x,y,z'
'-x,-y,-z'
'-x,y,-z'
'x,-y,z'
loop_
_atom_site_label
_atom_site_fract_x
_atom_site_fract_y
_atom_site_fract_z
In1 0.000 0.000 0.000
Ni1 0.000 0.500 0.500
Ni2 0.499 0.500 0.190
Ni3 0.500 0.000 0.500
B1 0.500 0.500 0.500
# - Uncorrected energy: -0.38522 Ry per atom
# - ΔE_f: 182 meV/atom


No. 5
# PBE Zr12Al3Mo5, optimized geometry
data_Zr12Al3Mo5
_chemical_formula_sum 'Zr96 Al24 Mo40'
_space_group_name_H-M_alt 'I a -3 d'
_space_group_IT_number 230
_space_group_name_Hall '-I 4bd 2c 3'
_cell_length_a 15.842
_cell_length_b 15.842
_cell_length_c 15.842
_cell_angle_alpha 90.00
_cell_angle_beta 90.00
_cell_angle_gamma 90.00
loop_
_atom_site_label
_atom_site_fract_x
_atom_site_fract_y
_atom_site_fract_z
Zr1 0.022 0.067 0.648
Al1 0.000 0.250 0.125
Mo1 0.000 0.000 0.000
Mo2 0.000 0.250 0.375
# - Uncorrected energy: -0.55049 Ry per atom
# - ΔE_f: 908 meV/atom


No. 6
# PBE Sr2DyPaS6, optimized geometry
data_Sr2DyPaS6
_chemical_formula_sum 'Sr4 Dy2 Pa2 S12'
_space_group_name_H-M_alt 'P 1 21/c 1'
_space_group_IT_number 14
_cell_length_a 6.981
_cell_length_b 7.455
_cell_length_c 12.286
_cell_angle_alpha 90.00
_cell_angle_beta 124.21
_cell_angle_gamma 90.00
loop_
_space_group_symop_operation_xyz
'x,y,z'
'-x,-y,-z'
'-x,y+1/2,-z+1/2'
'x,-y+1/2,z+1/2'
loop_
_atom_site_label
_atom_site_fract_x
_atom_site_fract_y
_atom_site_fract_z
Sr1 0.221 0.079 0.248
Dy1 0.000 0.000 0.500
Pa1 0.500 0.000 0.000
S1 0.137 0.192 0.941
S2 0.251 0.701 0.938
S3 0.369 0.038 0.754
# - Energy relative to the elements, uncorrected: -1.96 eV/atom
# - Uncorrected energy: -0.45436 Ry per atom


No. 7
# PBE TiMn2ZnC, optimized geometry
data_TiMn2ZnC
_chemical_formula_sum 'Ti1 Mn2 Zn1 C1'
_space_group_name_H-M_alt 'P 4/m m m'
_space_group_IT_number 123
_space_group_name_Hall '-P 4 2'
_cell_length_a 3.831
_cell_length_b 3.831
_cell_length_c 4.159
_cell_angle_alpha 90.00
_cell_angle_beta 90.00
_cell_angle_gamma 90.00
loop_
_atom_site_label
_atom_site_fract_x
_atom_site_fract_y
_atom_site_fract_z
Ti1 0.000 0.000 0.000
Mn1 0.000 0.500 0.500
Zn1 0.500 0.500 0.000
C1 0.000 0.000 0.500
# - Uncorrected energy: -0.55108 Ry per atom
# - ΔE_f: -151 meV/atom


No. 8
# PBE InAgH2, optimized geometry
data_InAgH2
_chemical_formula_sum 'In2 Ag2 H4'
_space_group_name_H-M_alt 'P -1'
_space_group_IT_number 2
_cell_length_a 3.095
_cell_length_b 4.594
_cell_length_c 10.912
_cell_angle_alpha 100.96
_cell_angle_beta 97.51
_cell_angle_gamma 90.04
loop_
_space_group_symop_operation_xyz
'x,y,z'
'-x,-y,-z'
loop_
_atom_site_label
_atom_site_fract_x
_atom_site_fract_y
_atom_site_fract_z
In1 0.107 0.141 0.231
Ag1 0.000 0.500 0.000
Ag2 0.500 0.000 0.000
H1 0.250 0.248 0.502
H2 0.283 0.283 0.573
# - ΔE to the lowest computed polymorph: 0 meV per atom
# - Uncorrected energy: -0.21484 Ry per atom


Copy entry 7 word for word.
# PBE TiMn2ZnC, optimized geometry
data_TiMn2ZnC
_chemical_formula_sum 'Ti1 Mn2 Zn1 C1'
_space_group_name_H-M_alt 'P 4/m m m'
_space_group_IT_number 123
_space_group_name_Hall '-P 4 2'
_cell_length_a 3.831
_cell_length_b 3.831
_cell_length_c 4.159
_cell_angle_alpha 90.00
_cell_angle_beta 90.00
_cell_angle_gamma 90.00
loop_
_atom_site_label
_atom_site_fract_x
_atom_site_fract_y
_atom_site_fract_z
Ti1 0.000 0.000 0.000
Mn1 0.000 0.500 0.500
Zn1 0.500 0.500 0.000
C1 0.000 0.000 0.500
# - Uncorrected energy: -0.55108 Ry per atom
# - ΔE_f: -151 meV/atom


Which formula does entry 8 have?
InAgH2


uncorrected energy of number 8 (InAgH2)?
-0.21484 Ry per atom


Number 7 is which compound?
TiMn2ZnC